(one)
VASP calculation (PBE) on a relaxed structure of Hf3GaAu.

Unit cell a=5.573 b=5.573 c=14.597 alpha=73.18 beta=73.18 gamma=75.19
Atoms (fractional coordinates):
Hf 0.833 0.828 0.848
Hf 0.172 0.167 0.652
Hf 0.167 0.172 0.152
Hf 0.828 0.833 0.348
Hf 0.793 0.794 0.641
Hf 0.206 0.207 0.859
Hf 0.207 0.206 0.359
Hf 0.794 0.793 0.141
Hf 0.244 0.627 0.965
Hf 0.373 0.756 0.535
Hf 0.627 0.244 0.465
Hf 0.756 0.373 0.035
Ga 0.000 0.500 0.500
Ga 0.500 0.000 0.000
Ga 0.682 0.318 0.250
Ga 0.318 0.682 0.750
Au 0.712 0.386 0.832
Au 0.614 0.288 0.668
Au 0.288 0.614 0.168
Au 0.386 0.712 0.332

Summary:
ρ = 13.1 g/cm3
total magnetic moment = 0.00 μB/cell

***

(two)
VASP calculation (PBE) on a relaxed structure of Hf3GaAu.

Unit cell a=4.897 b=4.897 c=4.897 alpha=90.00 beta=90.00 gamma=90.00
Atoms (fractional coordinates):
Hf 0.000 0.500 0.000
Hf 0.000 0.000 0.500
Hf 0.500 0.000 0.000
Au 0.500 0.500 0.500
Ga 0.000 0.000 0.000

Summary:
ρ = 11.3 g/cm3
total magnetic moment = 0.00 μB/cell

***

Which structure is most stable? (one), by 751 meV/atom over the runner-up.

***

(one)
VASP calculation (PBE) on a relaxed structure of Hf3Ga3Au.

Unit cell a=5.879 b=5.879 c=7.947 alpha=93.21 beta=93.21 gamma=103.15
Atoms (fractional coordinates):
Hf 0.619 0.619 0.345
Hf 0.192 0.808 0.500
Hf 0.808 0.192 0.500
Hf 0.232 0.768 0.000
Hf 0.768 0.232 0.000
Hf 0.381 0.381 0.655
Ga 0.975 0.975 0.236
Ga 0.902 0.555 0.726
Ga 0.555 0.902 0.726
Ga 0.098 0.445 0.274
Ga 0.445 0.098 0.274
Ga 0.025 0.025 0.764
Au 0.698 0.698 0.995
Au 0.302 0.302 0.005

Summary:
ρ = 11.7 g/cm3
total magnetic moment = 0.00 μB/cell

***

(two)
VASP calculation (PBE) on a relaxed structure of Hf3Ga3Au.

Unit cell a=3.461 b=5.652 c=14.165 alpha=83.70 beta=82.98 gamma=72.17
Atoms (fractional coordinates):
Hf 0.483 0.391 0.643
Hf 0.517 0.609 0.357
Hf 0.252 0.278 0.218
Hf 0.748 0.722 0.782
Hf 0.368 0.337 0.928
Hf 0.632 0.663 0.072
Ga 0.874 0.731 0.521
Ga 0.126 0.269 0.479
Ga 0.104 0.864 0.928
Ga 0.896 0.136 0.072
Ga 0.991 0.805 0.214
Ga 0.009 0.195 0.786
Au 0.787 0.056 0.369
Au 0.213 0.944 0.631

Summary:
ρ = 12.0 g/cm3
total magnetic moment = 0.00 μB/cell

***

Which structure is most stable? (two), by 104 meV/atom over the runner-up.

***

(one)
VASP calculation (PBE) on a relaxed structure of Ga2Hg2Au.

Unit cell a=6.746 b=6.746 c=4.944 alpha=90.00 beta=90.00 gamma=90.00
Atoms (fractional coordinates):
Au 0.000 0.000 0.000
Au 0.500 0.500 0.000
Hg 0.181 0.681 0.500
Hg 0.681 0.819 0.500
Hg 0.819 0.319 0.500
Hg 0.319 0.181 0.500
Ga 0.360 0.860 0.000
Ga 0.860 0.640 0.000
Ga 0.640 0.140 0.000
Ga 0.140 0.360 0.000

Summary:
ρ = 10.9 g/cm3
total magnetic moment = 0.00 μB/cell

***

(two)
VASP calculation (PBE) on a relaxed structure of Ga2Hg2Au.

Unit cell a=3.743 b=3.743 c=8.376 alpha=77.09 beta=77.09 gamma=90.00
Atoms (fractional coordinates):
Au 0.000 0.000 0.000
Hg 0.405 0.405 0.191
Hg 0.595 0.595 0.809
Ga 0.750 0.250 0.500
Ga 0.250 0.750 0.500

Summary:
ρ = 11.0 g/cm3
total magnetic moment = 0.00 μB/cell

***

(three)
VASP calculation (PBE) on a relaxed structure of Ga2Hg2Au.

Unit cell a=4.083 b=4.083 c=7.657 alpha=74.54 beta=74.54 gamma=90.00
Atoms (fractional coordinates):
Au 0.000 0.000 0.000
Hg 0.750 0.250 0.500
Hg 0.250 0.750 0.500
Ga 0.411 0.411 0.178
Ga 0.589 0.589 0.822

Summary:
ρ = 10.4 g/cm3
total magnetic moment = 0.00 μB/cell

***

(four)
VASP calculation (PBE) on a relaxed structure of Ga2Hg2Au.

Unit cell a=7.540 b=7.540 c=3.962 alpha=90.00 beta=90.00 gamma=90.00
Atoms (fractional coordinates):
Au 0.000 0.000 0.000
Au 0.500 0.500 0.000
Hg 0.350 0.850 0.000
Hg 0.850 0.650 0.000
Hg 0.650 0.150 0.000
Hg 0.150 0.350 0.000
Ga 0.156 0.656 0.500
Ga 0.656 0.844 0.500
Ga 0.844 0.344 0.500
Ga 0.344 0.156 0.500

Summary:
ρ = 10.9 g/cm3
total magnetic moment = 0.00 μB/cell

***

Which structure is most stable? (one), by 140 meV/atom over the runner-up.

***

(one)
VASP calculation (PBE) on a relaxed structure of GaHgAu3.

Unit cell a=3.189 b=7.374 c=8.547 alpha=90.00 beta=89.96 gamma=90.00
Atoms (fractional coordinates):
Ga 0.750 0.250 0.988
Ga 0.250 0.750 0.012
Hg 0.751 0.250 0.442
Hg 0.249 0.750 0.558
Au 0.250 0.444 0.184
Au 0.750 0.556 0.816
Au 0.250 0.056 0.183
Au 0.750 0.944 0.817
Au 0.250 0.250 0.722
Au 0.750 0.750 0.278

Summary:
ρ = 14.2 g/cm3
total magnetic moment = 0.00 μB/cell

***

(two)
VASP calculation (PBE) on a relaxed structure of GaHgAu3.

Unit cell a=7.340 b=7.918 c=7.918 alpha=63.18 beta=78.75 gamma=78.75
Atoms (fractional coordinates):
Ga 0.693 0.452 0.761
Ga 0.807 0.239 0.548
Ga 0.307 0.548 0.239
Ga 0.193 0.761 0.452
Hg 0.250 0.968 0.032
Hg 0.750 0.032 0.968
Hg 0.250 0.357 0.643
Hg 0.750 0.643 0.357
Au 0.606 0.694 0.009
Au 0.894 0.991 0.306
Au 0.394 0.306 0.991
Au 0.106 0.009 0.694
Au 0.962 0.339 0.972
Au 0.538 0.028 0.661
Au 0.038 0.661 0.028
Au 0.462 0.972 0.339
Au 0.386 0.692 0.731
Au 0.114 0.269 0.308
Au 0.614 0.308 0.269
Au 0.886 0.731 0.692

Summary:
ρ = 14.3 g/cm3
total magnetic moment = 0.00 μB/cell

***

Which structure is most stable? (one), by 30 meV/atom over the runner-up.

***

(one)
VASP calculation (PBE) on a relaxed structure of GaHgAu.

Unit cell a=3.360 b=3.360 c=6.023 alpha=106.20 beta=106.20 gamma=90.00
Atoms (fractional coordinates):
Au 0.684 0.684 0.367
Hg 0.003 0.003 0.005
Ga 0.314 0.314 0.628

Summary:
ρ = 12.4 g/cm3
total magnetic moment = 0.00 μB/cell

***

(two)
VASP calculation (PBE) on a relaxed structure of GaHgAu.

Unit cell a=3.927 b=3.927 c=5.040 alpha=90.00 beta=90.00 gamma=120.00
Atoms (fractional coordinates):
Au 0.333 0.667 0.630
Hg 0.000 0.000 0.000
Ga 0.667 0.333 0.370

Summary:
ρ = 11.5 g/cm3
total magnetic moment = 0.00 μB/cell

***

Which structure is most stable? (two), by 44 meV/atom over the runner-up.

***

(one)
VASP calculation (PBE) on a relaxed structure of GaHgAu.

Unit cell a=4.629 b=4.629 c=4.629 alpha=60.00 beta=60.00 gamma=60.00
Atoms (fractional coordinates):
Au 0.250 0.250 0.250
Hg 0.500 0.500 0.500
Ga 0.000 0.000 0.000

Summary:
ρ = 11.1 g/cm3
total magnetic moment = 0.00 μB/cell

***

(two)
VASP calculation (PBE) on a relaxed structure of GaHgAu.

Unit cell a=3.608 b=6.205 c=6.461 alpha=109.92 beta=106.21 gamma=90.00
Atoms (fractional coordinates):
Au 0.257 0.691 0.514
Au 0.743 0.309 0.486
Hg 0.957 0.728 0.915
Hg 0.043 0.272 0.085
Ga 0.351 0.147 0.703
Ga 0.649 0.853 0.297

Summary:
ρ = 12.0 g/cm3
total magnetic moment = 0.00 μB/cell

***

Which structure is most stable? (two), by 43 meV/atom over the runner-up.

***

(one)
VASP calculation (PBE) on a relaxed structure of Ga2HgAu2.

Unit cell a=8.435 b=8.435 c=2.795 alpha=90.00 beta=90.00 gamma=90.00
Atoms (fractional coordinates):
Au 0.164 0.664 0.500
Au 0.664 0.836 0.500
Au 0.836 0.336 0.500
Au 0.336 0.164 0.500
Hg 0.000 0.000 0.000
Hg 0.500 0.500 0.000
Ga 0.368 0.868 0.000
Ga 0.868 0.632 0.000
Ga 0.632 0.132 0.000
Ga 0.132 0.368 0.000

Summary:
ρ = 12.3 g/cm3
total magnetic moment = 0.00 μB/cell

***

(two)
VASP calculation (PBE) on a relaxed structure of Ga2HgAu2.

Unit cell a=4.136 b=4.136 c=6.791 alpha=72.27 beta=72.27 gamma=90.00
Atoms (fractional coordinates):
Au 0.387 0.387 0.227
Au 0.613 0.613 0.773
Hg 0.000 0.000 0.000
Ga 0.750 0.250 0.500
Ga 0.250 0.750 0.500

Summary:
ρ = 11.6 g/cm3
total magnetic moment = 0.00 μB/cell

***

Which structure is most stable? (two), by 7 meV/atom over the runner-up.

***

(one)
VASP calculation (PBE) on a relaxed structure of KGaHg2Au.

Unit cell a=5.438 b=5.438 c=5.074 alpha=90.00 beta=90.00 gamma=90.00
Atoms (fractional coordinates):
K 0.500 0.500 0.500
Au 0.000 0.000 0.500
Hg 0.000 0.500 0.000
Hg 0.500 0.000 0.000
Ga 0.000 0.000 0.000

Summary:
ρ = 7.8 g/cm3
total magnetic moment = 0.00 μB/cell

***

(two)
VASP calculation (PBE) on a relaxed structure of KGaHg2Au.

Unit cell a=5.567 b=5.567 c=5.011 alpha=90.00 beta=90.00 gamma=90.00
Atoms (fractional coordinates):
K 0.500 0.500 0.500
Au 0.000 0.000 0.000
Hg 0.000 0.500 0.000
Hg 0.500 0.000 0.000
Ga 0.000 0.000 0.500

Summary:
ρ = 7.6 g/cm3
total magnetic moment = 0.00 μB/cell

***

Which structure is most stable? (one), by 82 meV/atom over the runner-up.

***

(one)
VASP calculation (PBE) on a relaxed structure of TlGaHg2Au.

Unit cell a=5.447 b=5.447 c=4.934 alpha=90.00 beta=90.00 gamma=90.00
Atoms (fractional coordinates):
Tl 0.500 0.500 0.500
Au 0.000 0.000 0.000
Hg 0.000 0.500 0.000
Hg 0.500 0.000 0.000
Ga 0.000 0.000 0.500

Summary:
ρ = 9.9 g/cm3
total magnetic moment = 0.00 μB/cell

***

(two)
VASP calculation (PBE) on a relaxed structure of TlGaHg2Au.

Unit cell a=5.359 b=5.359 c=4.978 alpha=90.00 beta=90.00 gamma=90.00
Atoms (fractional coordinates):
Tl 0.500 0.500 0.500
Au 0.000 0.000 0.500
Hg 0.000 0.500 0.000
Hg 0.500 0.000 0.000
Ga 0.000 0.000 0.000

Summary:
ρ = 10.1 g/cm3
total magnetic moment = 0.00 μB/cell

***

Which structure is most stable? (two), by 36 meV/atom over the runner-up.

***

(one)
VASP calculation (PBE) on a relaxed structure of HoGaAu4.

Unit cell a=5.569 b=5.569 c=5.569 alpha=60.00 beta=60.00 gamma=60.00
Atoms (fractional coordinates):
Au 0.625 0.625 0.125
Au 0.625 0.125 0.625
Au 0.625 0.625 0.625
Au 0.125 0.625 0.625
Ho 0.250 0.250 0.250
Ga 0.000 0.000 0.000

Summary:
ρ = 13.9 g/cm3
total magnetic moment = 0.00 μB/cell

***

(two)
VASP calculation (PBE) on a relaxed structure of HoGaAu4.

Unit cell a=5.229 b=5.231 c=9.961 alpha=110.11 beta=110.03 gamma=89.32
Atoms (fractional coordinates):
Ho 0.750 0.750 0.000
Ho 0.250 0.250 0.000
Ga 0.500 0.000 0.500
Ga 0.000 0.500 0.500
Au 0.637 0.136 0.824
Au 0.864 0.364 0.176
Au 0.363 0.864 0.176
Au 0.136 0.636 0.824
Au 0.038 0.037 0.656
Au 0.463 0.463 0.344
Au 0.962 0.963 0.344
Au 0.537 0.537 0.656

Summary:
ρ = 14.2 g/cm3
total magnetic moment = 0.00 μB/cell

***

Which structure is most stable? (two), by 108 meV/atom over the runner-up.

***

(one)
VASP calculation (PBE) on a relaxed structure of HoGaAu3.

Unit cell a=4.724 b=9.071 c=9.268 alpha=90.00 beta=90.00 gamma=90.00
Atoms (fractional coordinates):
Ho 0.750 0.765 0.996
Ho 0.250 0.735 0.496
Ho 0.750 0.265 0.504
Ho 0.250 0.235 0.004
Ga 0.250 0.116 0.674
Ga 0.250 0.616 0.826
Ga 0.750 0.384 0.174
Ga 0.750 0.884 0.326
Au 0.250 0.571 0.101
Au 0.750 0.429 0.899
Au 0.250 0.071 0.399
Au 0.750 0.929 0.601
Au 0.250 0.400 0.654
Au 0.750 0.100 0.154
Au 0.250 0.900 0.846
Au 0.750 0.613 0.658
Au 0.250 0.387 0.342
Au 0.750 0.113 0.842
Au 0.750 0.600 0.346
Au 0.250 0.887 0.158

Summary:
ρ = 13.8 g/cm3
total magnetic moment = 0.00 μB/cell

***

(two)
VASP calculation (PBE) on a relaxed structure of HoGaAu3.

Unit cell a=5.458 b=5.905 c=6.263 alpha=90.00 beta=98.30 gamma=90.00
Atoms (fractional coordinates):
Ho 0.187 0.750 0.687
Ho 0.813 0.250 0.313
Ga 0.919 0.750 0.162
Ga 0.081 0.250 0.838
Au 0.686 0.499 0.856
Au 0.314 0.501 0.144
Au 0.686 0.001 0.856
Au 0.314 0.999 0.144
Au 0.657 0.750 0.462
Au 0.343 0.250 0.538

Summary:
ρ = 13.7 g/cm3
total magnetic moment = 0.00 μB/cell

***

Which structure is most stable? (one), by 21 meV/atom over the runner-up.